An optimized crystal structure of La3PmNd2. Source: Alexandria, functional PBE-GGA.

The space group is P-3m1 (No. 164) and the conventional cell measures 11.7865, 11.7865 and 3.5856 Å, with angles of 90.00, 90.00 and 120.00 degrees. Symmetry generates all atoms from La at (0.1640, 0.3281, 0.2504), Pm at (0.3333, 0.6667, 0.9181), Nd at (0.0000, 0.0000, 0.5000) and Nd at (0.0000, 0.5000, 0.5000).

Its calculated volume is 35.95 Å³/atom. The calculation puts the formation energy at 0.12 eV per atom. The value obtained for the density of states at the Fermi level is 2.183 states/eV/atom. The raw total energy is -4.727 eV/atom.


An optimized crystal structure of La3Pm3Nd5. Source: Alexandria, functional PBE-GGA.

The space group is P-62m (No. 189) and the conventional cell measures 11.5191, 11.5191 and 3.4978 Å, with angles of 90.00, 90.00 and 120.00 degrees. Symmetry generates all atoms from La at (0.0000, 0.3983, 0.0000), Pm at (0.0000, 0.1598, 0.5000), Nd at (0.0000, 0.6612, 0.5000) and Nd at (0.3333, 0.6667, 0.5000).

Its calculated volume is 36.54 Å³/atom. The calculation puts the formation energy at 0.29 eV per atom. The value obtained for the density of states at the Fermi level is 1.793 states/eV/atom. The raw total energy is -4.515 eV/atom.


An optimized crystal structure of La8PmNd6. Source: Alexandria, functional PBE-GGA.

The space group is R-3 (No. 148, hexagonal axes) and the conventional cell measures 9.8348, 9.8348 and 19.4496 Å, with angles of 90.00, 90.00 and 120.00 degrees. Symmetry generates all atoms from La at (0.0000, 0.0000, 0.0774), La at (0.0629, 0.8164, 0.6665), Pm at (0.0000, 0.0000, 0.5000) and Nd at (0.0450, 0.7815, 0.1826).

Its calculated volume is 36.20 Å³/atom. The calculation puts the formation energy at 0.13 eV per atom. The value obtained for the density of states at the Fermi level is 1.789 states/eV/atom. The raw total energy is -4.724 eV/atom.


An optimized crystal structure of La8PmNd2. Source: Alexandria, functional PBE-GGA.

The space group is C2/m (No. 12) and the conventional cell measures 9.335, 17.007 and 6.153 Å, with angles of 90.00, 124.49 and 90.00 degrees. Symmetry generates all atoms from La at (0.000, 0.204, 0.000), La at (0.079, 0.500, 0.799), La at (0.215, 0.118, 0.684), Pm at (0.000, 0.000, 0.000) and Nd at (0.000, 0.309, 0.500).

Its calculated volume is 36.60 Å³/atom. The calculation puts the formation energy at 0.11 eV per atom. The value obtained for the density of states at the Fermi level is 1.479 states/eV/atom. The raw total energy is -4.768 eV/atom.


An optimized crystal structure of LaPm3Nd5. Source: Alexandria, functional PBE-GGA.

The space group is C2/c (No. 15) and the conventional cell measures 18.923, 6.564 and 11.503 Å, with angles of 90.00, 112.94 and 90.00 degrees. Symmetry generates all atoms from La at (0.000, 0.134, 0.250), Pm at (0.000, 0.000, 0.000), Pm at (0.161, 0.303, 0.515), Nd at (0.000, 0.403, 0.750), Nd at (0.169, 0.181, 0.868) and Nd at (0.169, 0.300, 0.211).

Its calculated volume is 36.55 Å³/atom. The calculation puts the formation energy at 0.26 eV per atom. The value obtained for the density of states at the Fermi level is 1.540 states/eV/atom. The raw total energy is -4.523 eV/atom.


An optimized crystal structure of La2PmNd3. Source: Alexandria, functional PBE-GGA.

The space group is C2/c (No. 15) and the conventional cell measures 17.484, 7.070 and 7.150 Å, with angles of 90.00, 101.73 and 90.00 degrees. Symmetry generates all atoms from La at (0.173, 0.001, 0.088), Pm at (0.000, 0.236, 0.250), Nd at (0.000, 0.234, 0.750) and Nd at (0.141, 0.499, 0.570).

Its calculated volume is 36.06 Å³/atom. The calculation puts the formation energy at 0.12 eV per atom. The value obtained for the density of states at the Fermi level is 1.341 states/eV/atom. The raw total energy is -4.699 eV/atom.


An optimized crystal structure of La3PmNd2. Source: Alexandria, functional PBE-GGA.

The space group is Pnnm (No. 58) and the conventional cell measures 6.898, 18.141 and 3.503 Å, with angles of 90.00, 90.00 and 90.00 degrees. Symmetry generates all atoms from La at (0.000, 0.000, 0.000), La at (0.233, 0.320, 0.000), Pm at (0.000, 0.500, 0.000) and Nd at (0.228, 0.152, 0.500).

Its calculated volume is 36.53 Å³/atom. The calculation puts the formation energy at 0.22 eV per atom. The value obtained for the density of states at the Fermi level is 1.975 states/eV/atom. The raw total energy is -4.625 eV/atom.


An optimized crystal structure of La5Pm6Nd2. Source: Alexandria, functional PBE-GGA.

The space group is Pbam (No. 55) and the conventional cell measures 11.993, 21.107 and 3.691 Å, with angles of 90.00, 90.00 and 90.00 degrees. Symmetry generates all atoms from La at (0.000, 0.000, 0.000), La at (0.081, 0.275, 0.000), La at (0.201, 0.550, 0.000), Pm at (0.059, 0.421, 0.500), Pm at (0.080, 0.132, 0.500), Pm at (0.179, 0.865, 0.000) and Nd at (0.174, 0.713, 0.500).

Its calculated volume is 35.94 Å³/atom. The calculation puts the formation energy at 0.08 eV per atom. The value obtained for the density of states at the Fermi level is 1.348 states/eV/atom. The raw total energy is -4.740 eV/atom.


An optimized crystal structure of La5PmNd4. Source: Alexandria, functional PBE-GGA.

The space group is Pmmn (No. 59, origin choice 2) and the conventional cell measures 6.966, 9.264 and 11.752 Å, with angles of 90.00, 90.00 and 90.00 degrees. Symmetry generates all atoms from La at (0.005, 0.068, 0.219), La at (0.250, 0.250, 0.714), Pm at (0.250, 0.750, 0.318), Nd at (0.004, 0.750, 0.041) and Nd at (0.250, 0.047, 0.494).

Its calculated volume is 37.92 Å³/atom. The calculation puts the formation energy at 0.30 eV per atom. The value obtained for the density of states at the Fermi level is 1.624 states/eV/atom. The raw total energy is -4.543 eV/atom.


An optimized crystal structure of La2Pm5Nd12. Source: Alexandria, functional PBE-GGA.

The space group is C2/m (No. 12) and the conventional cell measures 16.127, 9.430 and 8.935 Å, with angles of 90.00, 92.84 and 90.00 degrees. Symmetry generates all atoms from La at (0.000, 0.167, 0.000), Pm at (0.000, 0.500, 0.500), Pm at (0.214, 0.000, 0.039), Pm at (0.233, 0.500, 0.566), Nd at (0.059, 0.000, 0.347), Nd at (0.070, 0.500, 0.878), Nd at (0.132, 0.197, 0.683) and Nd at (0.148, 0.320, 0.243).

Its calculated volume is 35.71 Å³/atom. The calculation puts the formation energy at 0.12 eV per atom. The value obtained for the density of states at the Fermi level is 1.335 states/eV/atom. The raw total energy is -4.659 eV/atom.


An optimized crystal structure of La2Pm3Nd7. Source: Alexandria, functional PBE-GGA.

The space group is P2/m (No. 10) and the conventional cell measures 6.557, 3.622 and 18.068 Å, with angles of 90.00, 96.16 and 90.00 degrees. Symmetry generates all atoms from La at (0.058, 0.000, 0.170), Pm at (0.453, 0.500, 0.840), Pm at (0.500, 0.000, 0.500), Nd at (0.000, 0.500, 0.500), Nd at (0.227, 0.000, 0.667), Nd at (0.257, 0.000, 0.998) and Nd at (0.276, 0.500, 0.335).

Its calculated volume is 35.55 Å³/atom. The calculation puts the formation energy at 0.07 eV per atom. The value obtained for the density of states at the Fermi level is 1.649 states/eV/atom. The raw total energy is -4.724 eV/atom.


An optimized crystal structure of La6Pm2Nd. Source: Alexandria, functional PBE-GGA.

The space group is C2/m (No. 12) and the conventional cell measures 17.700, 10.184 and 3.576 Å, with angles of 90.00, 90.06 and 90.00 degrees. Symmetry generates all atoms from La at (0.000, 0.170, 0.000), La at (0.167, 0.329, 0.000), Pm at (0.167, 0.000, 0.500) and Nd at (0.000, 0.500, 0.500).

Its calculated volume is 35.81 Å³/atom. The calculation puts the formation energy at 0.04 eV per atom. The value obtained for the density of states at the Fermi level is 1.363 states/eV/atom. The raw total energy is -4.828 eV/atom.


Q: What is the formula in the fourth record?
A: La8PmNd2


Q: Among the records above, which one has the highest raw total energy?
A: La3Pm3Nd5


Q: Among the records above, which one has the lowest raw total energy?
A: La6Pm2Nd


Q: Which formula does entry 1 have?
A: La3PmNd2